(1)
# MgB9N, optimized geometry, DFT PBE
# * raw formation energy: -0.3927 eV/atom
# * volume: 7.943 A^3/atom
# * size of the total moment: 0.0 μB per cell
data_MgB9N
_chemical_formula_sum 'Mg2 B18 N2'
_space_group_name_H-M_alt 'P 1'
_space_group_IT_number 1
_space_group_name_Hall 'P 1'
_cell_length_a 7.3979
_cell_length_b 7.3979
_cell_length_c 7.3979
_cell_angle_alpha 43.60
_cell_angle_beta 43.60
_cell_angle_gamma 43.60
loop_
_atom_site_label
_atom_site_fract_x
_atom_site_fract_y
_atom_site_fract_z
Mg1 0.1956 0.1956 0.1956
Mg2 0.8044 0.8044 0.8044
B1 0.1478 0.8247 0.8247
B2 0.1609 0.1609 0.6300
B3 0.1609 0.6300 0.1609
B4 0.1753 0.1753 0.8522
B5 0.1753 0.8522 0.1753
B6 0.3242 0.6422 0.6422
B7 0.3578 0.3578 0.6758
B8 0.3578 0.6758 0.3578
B9 0.3700 0.8391 0.8391
B10 0.6300 0.1609 0.1609
B11 0.6422 0.3242 0.6422
B12 0.6422 0.6422 0.3242
B13 0.6758 0.3578 0.3578
B14 0.8247 0.1478 0.8247
B15 0.8247 0.8247 0.1478
B16 0.8391 0.3700 0.8391
B17 0.8391 0.8391 0.3700
B18 0.8522 0.1753 0.1753
N1 0.3005 0.3005 0.3005
N2 0.6995 0.6995 0.6995

(2)
# AgPbSe, optimized geometry, DFT PBE
# * raw formation energy: -0.1421 eV/atom
# * volume: 25.799 A^3/atom
# * size of the total moment: 0.0 μB per cell
data_AgPbSe
_chemical_formula_sum 'Ag4 Pb4 Se4'
_space_group_name_H-M_alt 'P 1'
_space_group_IT_number 1
_space_group_name_Hall 'P 1'
_cell_length_a 5.9140
_cell_length_b 7.4048
_cell_length_c 8.6495
_cell_angle_alpha 90.00
_cell_angle_beta 125.18
_cell_angle_gamma 90.00
loop_
_atom_site_label
_atom_site_fract_x
_atom_site_fract_y
_atom_site_fract_z
Ag1 0.2430 0.1019 0.4227
Ag2 0.2430 0.3981 0.9227
Ag3 0.7570 0.6019 0.0773
Ag4 0.7570 0.8981 0.5773
Pb1 0.4504 0.0196 0.1697
Pb2 0.4504 0.4804 0.6697
Pb3 0.5496 0.5196 0.3303
Pb4 0.5496 0.9804 0.8303
Se1 0.0285 0.7451 0.9229
Se2 0.0285 0.7549 0.4229
Se3 0.9715 0.2451 0.5771
Se4 0.9715 0.2549 0.0771

(3)
# ZrHgPb2, optimized geometry, DFT PBE
# * volume: 25.544 A^3/atom
# * size of the total moment: 0.0 μB per cell
# * ΔE_f: -0.127 eV/f.u.
data_ZrHgPb2
_chemical_formula_sum 'Zr1 Hg1 Pb2'
_space_group_name_H-M_alt 'P 1'
_space_group_IT_number 1
_space_group_name_Hall 'P 1'
_cell_length_a 6.0900
_cell_length_b 6.0900
_cell_length_c 5.5768
_cell_angle_alpha 109.72
_cell_angle_beta 109.72
_cell_angle_gamma 31.84
loop_
_atom_site_label
_atom_site_fract_x
_atom_site_fract_y
_atom_site_fract_z
Zr1 0.0000 0.0000 0.0000
Hg1 0.7148 0.7148 0.3580
Pb1 0.2512 0.2512 0.8881
Pb2 0.4726 0.4726 0.4953

(4)
# Zr4Hg3Rh, optimized geometry, DFT PBE
# * volume: 20.979 A^3/atom
# * size of the total moment: 0.0 μB per cell
# * ΔE_f: -2.132 eV/f.u.
data_Zr4Hg3Rh
_chemical_formula_sum 'Zr4 Hg3 Rh1'
_space_group_name_H-M_alt 'P 1'
_space_group_IT_number 1
_space_group_name_Hall 'P 1'
_cell_length_a 3.4596
_cell_length_b 5.0007
_cell_length_c 9.7011
_cell_angle_alpha 90.00
_cell_angle_beta 90.00
_cell_angle_gamma 90.00
loop_
_atom_site_label
_atom_site_fract_x
_atom_site_fract_y
_atom_site_fract_z
Zr1 0.0000 0.0000 0.0000
Zr2 0.0000 0.0000 0.5000
Zr3 0.0000 0.5000 0.2217
Zr4 0.0000 0.5000 0.7783
Hg1 0.5000 0.0000 0.2546
Hg2 0.5000 0.0000 0.7454
Hg3 0.5000 0.5000 0.5000
Rh1 0.5000 0.5000 0.0000

(5)
# TbTl2AsSe4, optimized geometry, DFT PBE
# * raw formation energy: -0.7456 eV/atom
# * volume: 27.966 A^3/atom
# * size of the total moment: 0.0 μB per cell
data_TbTl2AsSe4
_chemical_formula_sum 'Tb2 Tl4 As2 Se8'
_space_group_name_H-M_alt 'P 1'
_space_group_IT_number 1
_space_group_name_Hall 'P 1'
_cell_length_a 8.5893
_cell_length_b 8.5893
_cell_length_c 8.5893
_cell_angle_alpha 120.24
_cell_angle_beta 119.94
_cell_angle_gamma 89.84
loop_
_atom_site_label
_atom_site_fract_x
_atom_site_fract_y
_atom_site_fract_z
Tb1 0.5000 0.0000 0.0000
Tb2 0.5000 0.5000 0.5000
Tl1 0.0000 0.0000 0.0000
Tl2 0.0000 0.0000 0.5000
Tl3 0.0000 0.5000 0.0000
Tl4 0.5000 0.0000 0.5000
As1 0.0000 0.5000 0.5000
As2 0.5000 0.5000 0.0000
Se1 0.2543 0.7295 0.5248
Se2 0.2613 0.2978 0.5364
Se3 0.2613 0.7249 0.9636
Se4 0.2953 0.2705 0.0248
Se5 0.7047 0.7295 0.9752
Se6 0.7387 0.2751 0.0364
Se7 0.7387 0.7022 0.4636
Se8 0.7457 0.2705 0.4752

(6)
# SrNiTe2N, optimized geometry, DFT PBE
# * raw formation energy: -0.1772 eV/atom
# * distance to the lowest polymorph of the same formula: 0.0000 eV per atom
# * volume: 22.888 A^3/atom
# * size of the total moment: 0.0 μB per cell
data_SrNiTe2N
_chemical_formula_sum 'Sr1 Ni1 Te2 N1'
_space_group_name_H-M_alt 'P 1'
_space_group_IT_number 1
_space_group_name_Hall 'P 1'
_cell_length_a 5.6721
_cell_length_b 5.6721
_cell_length_c 3.5571
_cell_angle_alpha 90.00
_cell_angle_beta 90.00
_cell_angle_gamma 90.00
loop_
_atom_site_label
_atom_site_fract_x
_atom_site_fract_y
_atom_site_fract_z
Sr1 0.0000 0.0000 0.0000
Ni1 0.5000 0.5000 0.5000
Te1 0.0000 0.5000 0.5000
Te2 0.5000 0.0000 0.5000
N1 0.5000 0.5000 0.0000

(7)
# Li4LaZn4, optimized geometry, DFT PBE
# * volume: 18.232 A^3/atom
# * size of the total moment: 0.0 μB per cell
# * ΔE_f: -0.872 eV/f.u.
data_Li4LaZn4
_chemical_formula_sum 'Li4 La1 Zn4'
_space_group_name_H-M_alt 'P 1'
_space_group_IT_number 1
_space_group_name_Hall 'P 1'
_cell_length_a 6.3915
_cell_length_b 6.3915
_cell_length_c 6.3915
_cell_angle_alpha 97.51
_cell_angle_beta 97.51
_cell_angle_gamma 137.62
loop_
_atom_site_label
_atom_site_fract_x
_atom_site_fract_y
_atom_site_fract_z
Li1 0.0873 0.6205 0.7078
Li2 0.3795 0.0873 0.4669
Li3 0.6205 0.9127 0.5331
Li4 0.9127 0.3795 0.2922
La1 0.0000 0.0000 0.0000
Zn1 0.2687 0.3567 0.6255
Zn2 0.3567 0.7313 0.0880
Zn3 0.6433 0.2687 0.9120
Zn4 0.7313 0.6433 0.3745

(8)
# LiCa3Mg4, optimized geometry, DFT PBE
# * volume: 28.559 A^3/atom
# * size of the total moment: 0.0 μB per cell
# * ΔE_f: -0.507 eV/f.u.
data_LiCa3Mg4
_chemical_formula_sum 'Li1 Ca3 Mg4'
_space_group_name_H-M_alt 'P 1'
_space_group_IT_number 1
_space_group_name_Hall 'P 1'
_cell_length_a 3.6950
_cell_length_b 3.6950
_cell_length_c 16.7343
_cell_angle_alpha 90.00
_cell_angle_beta 90.00
_cell_angle_gamma 90.00
loop_
_atom_site_label
_atom_site_fract_x
_atom_site_fract_y
_atom_site_fract_z
Li1 0.0000 0.0000 0.0000
Ca1 0.0000 0.0000 0.2325
Ca2 0.0000 0.0000 0.5000
Ca3 0.0000 0.0000 0.7675
Mg1 0.5000 0.5000 0.0949
Mg2 0.5000 0.5000 0.3664
Mg3 0.5000 0.5000 0.6336
Mg4 0.5000 0.5000 0.9051

(9)
# La4TePt3, optimized geometry, DFT PBE
# * raw formation energy: -1.2760 eV/atom
# * volume: 29.328 A^3/atom
# * size of the total moment: 0.0 μB per cell
data_La4TePt3
_chemical_formula_sum 'La8 Te2 Pt6'
_space_group_name_H-M_alt 'P 1'
_space_group_IT_number 1
_space_group_name_Hall 'P 1'
_cell_length_a 4.3125
_cell_length_b 4.3125
_cell_length_c 29.1358
_cell_angle_alpha 90.00
_cell_angle_beta 90.00
_cell_angle_gamma 120.00
loop_
_atom_site_label
_atom_site_fract_x
_atom_site_fract_y
_atom_site_fract_z
La1 0.0000 0.0000 0.1732
La2 0.0000 0.0000 0.3268
La3 0.0000 0.0000 0.6732
La4 0.0000 0.0000 0.8268
La5 0.3333 0.6667 0.0577
La6 0.3333 0.6667 0.4423
La7 0.6667 0.3333 0.5577
La8 0.6667 0.3333 0.9423
Te1 0.3333 0.6667 0.2500
Te2 0.6667 0.3333 0.7500
Pt1 0.0000 0.0000 0.0000
Pt2 0.0000 0.0000 0.5000
Pt3 0.3333 0.6667 0.6183
Pt4 0.3333 0.6667 0.8817
Pt5 0.6667 0.3333 0.1183
Pt6 0.6667 0.3333 0.3817

(10)
# Zn2AsO4, optimized geometry, DFT PBE
# * raw formation energy: -0.7835 eV/atom
# * distance to the lowest polymorph of the same formula: 0.3943 eV per atom
# * volume: 11.481 A^3/atom
# * size of the total moment: 0.0 μB per cell
data_Zn2AsO4
_chemical_formula_sum 'Zn2 As1 O4'
_space_group_name_H-M_alt 'P 1'
_space_group_IT_number 1
_space_group_name_Hall 'P 1'
_cell_length_a 5.9579
_cell_length_b 5.9579
_cell_length_c 5.9579
_cell_angle_alpha 141.78
_cell_angle_beta 141.78
_cell_angle_gamma 55.16
loop_
_atom_site_label
_atom_site_fract_x
_atom_site_fract_y
_atom_site_fract_z
Zn1 0.1443 0.1443 0.0000
Zn2 0.8557 0.8557 0.0000
As1 0.5000 0.5000 0.0000
O1 0.0000 0.5000 0.5000
O2 0.3225 0.3225 0.0000
O3 0.5000 0.0000 0.5000
O4 0.6775 0.6775 0.0000

(11)
# La2VAs, optimized geometry, DFT PBE
# * volume: 26.719 A^3/atom
# * size of the total moment: 5.9 μB per cell
# * ΔE_f: 0.021 eV/f.u.
data_La2VAs
_chemical_formula_sum 'La4 V2 As2'
_space_group_name_H-M_alt 'P 1'
_space_group_IT_number 1
_space_group_name_Hall 'P 1'
_cell_length_a 6.6104
_cell_length_b 6.6104
_cell_length_c 6.6104
_cell_angle_alpha 103.43
_cell_angle_beta 103.43
_cell_angle_gamma 122.37
loop_
_atom_site_label
_atom_site_fract_x
_atom_site_fract_y
_atom_site_fract_z
La1 0.1235 0.6250 0.9985
La2 0.3750 0.3735 0.4985
La3 0.6265 0.1250 0.0015
La4 0.8750 0.8765 0.5015
V1 0.2500 0.7500 0.5000
V2 0.5000 0.5000 0.0000
As1 0.0000 0.0000 0.0000
As2 0.7500 0.2500 0.5000

(12)
# TbSm2Ni9, optimized geometry, DFT PBE
# * volume: 14.746 A^3/atom
# * size of the total moment: 1.0 μB per cell
# * ΔE_f: -4.363 eV/f.u.
data_TbSm2Ni9
_chemical_formula_sum 'Tb1 Sm2 Ni9'
_space_group_name_H-M_alt 'P 1'
_space_group_IT_number 1
_space_group_name_Hall 'P 1'
_cell_length_a 8.7026
_cell_length_b 8.7026
_cell_length_c 8.7026
_cell_angle_alpha 33.31
_cell_angle_beta 33.31
_cell_angle_gamma 33.31
loop_
_atom_site_label
_atom_site_fract_x
_atom_site_fract_y
_atom_site_fract_z
Tb1 0.0000 0.0000 0.0000
Sm1 0.1384 0.1384 0.1384
Sm2 0.8616 0.8616 0.8616
Ni1 0.0809 0.5806 0.5806
Ni2 0.3329 0.3329 0.3329
Ni3 0.4194 0.4194 0.9191
Ni4 0.4194 0.9191 0.4194
Ni5 0.5000 0.5000 0.5000
Ni6 0.5806 0.0809 0.5806
Ni7 0.5806 0.5806 0.0809
Ni8 0.6671 0.6671 0.6671
Ni9 0.9191 0.4194 0.4194